Record 1
Here is a relaxed structure of MgNbRh from Alexandria via LeMat-Bulk. Energies are from PBE-GGA.

Values from the calculation:
ΔH_f (0 K) = -239 meV/atom
volume = 17.01 A^3/atom
crystal system = tetragonal
theoretical density = 7.16 Mg/m³
total magnetic moment = 0.00 μB per atom

Unit cell a=3.1357 b=3.1357 c=5.6435 alpha=106.13 beta=106.13 gamma=90.00
Last column: nearest neighbours and their distance in Å.
Atoms (fractional coordinates):
Mg  0.0111  0.0111  0.0221  4 Rh 2.78, 4 Nb 3.00
Nb  0.3161  0.3161  0.6322  4 Rh 2.67
Rh  0.6729  0.6729  0.3457  4 Nb 2.67, 4 Mg 2.78



Record 2
Here is a relaxed structure of MgNbRh3 from Alexandria via LeMat-Bulk. Energies are from PBE-GGA.

Values from the calculation:
ΔH_f (0 K) = 788 meV/atom
volume = 17.04 A^3/atom
crystal system = cubic
theoretical density = 8.30 Mg/m³
ΔE to the lowest computed polymorph = 943.9 meV per atom
total magnetic moment = 0.00 μB per atom

Unit cell a=4.3999 b=4.3999 c=4.3999 alpha=90.00 beta=90.00 gamma=90.00
Last column: nearest neighbours and their distance in Å.
Atoms (fractional coordinates):
Mg  0.0000  0.0000  0.0000  6 Rh 2.20
Nb  0.5000  0.5000  0.5000  12 Rh 3.11
Rh  0.0000  0.0000  0.5000  2 Mg 2.20
Rh  0.5000  0.0000  0.0000  2 Mg 2.20
Rh  0.0000  0.5000  0.0000  2 Mg 2.20



Record 3
Here is a relaxed structure of Mg2Nb2Rh3 from Alexandria via LeMat-Bulk. Energies are from PBE-GGA.

Values from the calculation:
ΔH_f (0 K) = -335 meV/atom
volume = 16.32 A^3/atom
crystal system = orthorhombic
theoretical density = 7.89 Mg/m³
total magnetic moment = 0.00 μB per atom

Unit cell a=3.0639 b=3.0864 c=12.1808 alpha=90.00 beta=82.77 gamma=90.00
Last column: nearest neighbours and their distance in Å.
Atoms (fractional coordinates):
Rh  0.8651  0.0000  0.2699  4 Nb 2.70, 4 Mg 2.77
Rh  0.0000  0.0000  0.0000  8 Mg 2.66
Rh  0.1349  0.0000  0.7301  4 Nb 2.70, 4 Mg 2.77
Mg  0.4364  0.5000  0.1273  8 Rh 2.66-2.77
Mg  0.5636  0.5000  0.8727  8 Rh 2.66-2.77
Nb  0.7011  0.5000  0.5979  4 Rh 2.70, 2 Nb 2.82
Nb  0.2989  0.5000  0.4021  4 Rh 2.70, 2 Nb 2.82



Record 4
Here is a relaxed structure of MgNb2Rh from Alexandria via LeMat-Bulk. Energies are from PBE-GGA.

Values from the calculation:
ΔH_f (0 K) = 254 meV/atom
volume = 19.07 A^3/atom
crystal system = tetragonal
theoretical density = 6.81 Mg/m³
ΔE to the lowest computed polymorph = 68.5 meV per atom
total magnetic moment = 0.00 μB per atom

Unit cell a=7.5869 b=7.5869 c=5.9839 alpha=50.66 beta=50.66 gamma=90.00
Last column: nearest neighbours and their distance in Å.
Atoms (fractional coordinates):
Nb  0.0811  0.6250  0.2500  2 Rh 2.55, 2 Nb 2.73
Nb  0.3750  0.3311  0.7500  2 Rh 2.55, 2 Nb 2.73
Nb  0.8750  0.9189  0.7500  2 Rh 2.55, 2 Nb 2.73
Nb  0.6689  0.1250  0.2500  2 Rh 2.55, 2 Nb 2.73
Mg  0.5000  0.5000  0.0000  2 Rh 2.65
Mg  0.2500  0.7500  0.5000  2 Rh 2.65
Rh  0.0000  0.0000  0.0000  4 Nb 2.55, 2 Mg 2.65
Rh  0.7500  0.2500  0.5000  4 Nb 2.55, 2 Mg 2.65